Version w
This record from Alexandria via LeMat-Bulk describes crystalline Al2TlSb2 at its relaxed geometry. The functional is PBE-GGA.

Lattice parameters (Å, degrees): 4.305 4.305 8.152 74.69 74.69 90.00
Positions (direct):
1 Al 0.750 0.250 0.500
2 Al 0.250 0.750 0.500
3 Sb 0.369 0.369 0.263
4 Sb 0.631 0.631 0.737
5 Tl 0.000 0.000 0.000

Version x
This record from Alexandria via LeMat-Bulk describes crystalline Al2TlSb2 at its relaxed geometry. The functional is PBE-GGA.

Lattice parameters (Å, degrees): 8.644 8.644 3.388 90.00 90.00 90.00
Positions (direct):
1 Tl 0.500 0.500 0.000
2 Tl 0.000 0.000 0.000
3 Sb 0.347 0.847 0.000
4 Sb 0.847 0.653 0.000
5 Sb 0.153 0.347 0.000
6 Sb 0.653 0.153 0.000
7 Al 0.139 0.639 0.500
8 Al 0.861 0.361 0.500
9 Al 0.361 0.139 0.500
10 Al 0.639 0.861 0.500

Version y
This record from Alexandria via LeMat-Bulk describes crystalline Al2TlSb2 at its relaxed geometry. The functional is PBE-GGA.

Lattice parameters (Å, degrees): 5.171 5.171 6.244 65.54 65.54 90.00
Positions (direct):
1 Al 0.628 0.628 0.743
2 Al 0.372 0.372 0.257
3 Sb 0.750 0.250 0.500
4 Sb 0.250 0.750 0.500
5 Tl 0.000 0.000 0.000

Which is most stable, and by how much? version w, by 74 meV/atom.

Version w
This record from Alexandria via LeMat-Bulk describes crystalline AlVSb3 at its relaxed geometry. The functional is PBE-GGA.

Lattice parameters (Å, degrees): 5.141 5.141 5.141 90.00 90.00 90.00
Positions (direct):
1 V 0.000 0.000 0.000
2 Sb 0.000 0.500 0.000
3 Sb 0.500 0.000 0.000
4 Sb 0.000 0.000 0.500
5 Al 0.500 0.500 0.500

Version x
This record from Alexandria via LeMat-Bulk describes crystalline AlVSb3 at its relaxed geometry. The functional is PBE-GGA.

Lattice parameters (Å, degrees): 5.228 5.228 5.228 90.00 90.00 90.00
Positions (direct):
1 Al 0.000 0.000 0.000
2 Sb 0.000 0.000 0.500
3 Sb 0.500 0.000 0.000
4 Sb 0.000 0.500 0.000
5 V 0.500 0.500 0.500

Which is most stable, and by how much? version w, by 471 meV/atom.

Version w
This record from Alexandria via LeMat-Bulk describes crystalline AlV2Sb at its relaxed geometry. The functional is PBE-GGA.

Lattice parameters (Å, degrees): 4.559 4.559 4.559 60.00 60.00 60.00
Positions (direct):
1 Al 0.000 0.000 0.000
2 Sb 0.500 0.500 0.500
3 V 0.750 0.750 0.750
4 V 0.250 0.250 0.250

Version x
This record from Alexandria via LeMat-Bulk describes crystalline AlV2Sb at its relaxed geometry. The functional is PBE-GGA.

Lattice parameters (Å, degrees): 3.873 3.873 9.882 78.70 78.70 90.00
Positions (direct):
1 Al 0.500 0.500 0.000
2 Al 0.250 0.750 0.500
3 Sb 0.750 0.250 0.500
4 Sb 0.000 0.000 0.000
5 V 0.375 0.406 0.750
6 V 0.875 0.844 0.750
7 V 0.594 0.125 0.250
8 V 0.156 0.625 0.250

Which is most stable, and by how much? version w, by 198 meV/atom.